1.
A relaxed structure of HgSb2Rh2. Source: the Alexandria database, functional GGA-PBE.

abc: 4.462 4.462 6.430
angles: 69.70 69.70 90.00
Element x y z (fractional)
Hg (0.000, 0.000, 0.000)
Sb (0.250, 0.750, 0.500)
Rh (0.380, 0.380, 0.240)
Sb (0.750, 0.250, 0.500)
Rh (0.620, 0.620, 0.760)

Output
- density of states at the Fermi level (states/eV/f.u.) = 3.40
- total energy (eV per atom) = -4.610
- uncorrected formation energy (meV per atom) = 39

---

2.
A relaxed structure of ReP2Pb. Source: the Alexandria database, functional GGA-PBE.

abc: 3.051 3.051 9.311
angles: 90.00 90.00 115.42
Element x y z (fractional)
P (0.000, 0.000, 0.559)
P (0.000, 0.000, 0.941)
Re (0.500, 0.500, 0.750)
Pb (0.500, 0.500, 0.250)

Output
- energy relative to the elements (meV per atom) = 471.4
- density of states at the Fermi level (states/eV/f.u.) = 3.36
- total energy (eV per atom) = -6.273

---

3.
A relaxed structure of PrPb3F8. Source: the Alexandria database, functional GGA-PBE.

abc: 6.016 6.016 6.016
angles: 90.00 90.00 90.00
Element x y z (fractional)
Pr (0.000, 0.000, 0.000)
F (0.231, 0.769, 0.231)
Pb (0.500, 0.000, 0.500)
F (0.231, 0.769, 0.769)
F (0.769, 0.769, 0.231)
Pb (0.000, 0.500, 0.500)
F (0.231, 0.231, 0.769)
F (0.769, 0.769, 0.769)
Pb (0.500, 0.500, 0.000)
F (0.231, 0.231, 0.231)
F (0.769, 0.231, 0.231)
F (0.769, 0.231, 0.769)

Output
- density of states at the Fermi level (states/eV/f.u.) = 3.57
- total energy (eV per atom) = -5.301
- uncorrected formation energy (meV per atom) = -2729

---

4.
A relaxed structure of CrMo2As. Source: the Alexandria database, functional GGA-PBE.

abc: 4.921 5.237 2.844
angles: 79.00 79.20 118.49
Each line ends with the local moment (μB).
Element x y z (fractional)
As (0.500, 0.500, 0.000)  0.01
Mo (0.000, 0.500, 0.500)  -0.12
Cr (0.500, 0.000, 0.500)  1.66
Mo (0.000, 0.000, 0.000)  -0.12

Output
- energy relative to the elements (meV per atom) = 250.3
- density of states at the Fermi level (states/eV/f.u.) = 3.86
- total energy (eV per atom) = -8.734

---

5.
A relaxed structure of NpP2Ir3. Source: the Alexandria database, functional GGA-PBE.

abc: 3.721 7.711 7.711
angles: 67.35 76.04 76.04
Each line ends with the local moment (μB).
Element x y z (fractional)
Ir (0.000, 0.340, 0.660)  0.04
Ir (0.000, 0.660, 0.340)  0.04
Ir (0.325, 0.855, 0.495)  -0.02
P (0.500, 0.814, 0.186)  -0.03
Np (0.122, 0.878, 0.878)  3.64
P (0.500, 0.186, 0.814)  -0.03
P (0.164, 0.336, 0.336)  0.01
Ir (0.675, 0.145, 0.505)  -0.02
Ir (0.325, 0.495, 0.855)  -0.02
P (0.836, 0.664, 0.664)  0.01
Ir (0.675, 0.505, 0.145)  -0.02
Np (0.878, 0.122, 0.122)  3.64

Output
- energy relative to the elements (meV per atom) = -405.0
- density of states at the Fermi level (states/eV/f.u.) = 8.04
- total energy (eV per atom) = -8.796

---

6.
A relaxed structure of NbAl3B. Source: the Alexandria database, functional GGA-PBE.

abc: 5.020 5.020 5.020
angles: 90.00 90.00 90.00
Element x y z (fractional)
B (0.500, 0.500, 0.500)
Al (0.500, 0.000, 0.000)
Nb (0.000, 0.000, 0.000)
Al (0.000, 0.000, 0.500)
Al (0.000, 0.500, 0.000)

Output
- energy relative to the elements (meV per atom) = 1648.7
- density of states at the Fermi level (states/eV/f.u.) = 3.61
- total energy (eV per atom) = -3.946

---

7.
A relaxed structure of Cd3Ga12Si5. Source: the Alexandria database, functional GGA-PBE.

abc: 13.162 13.162 13.162
angles: 109.47 109.47 109.47
Element x y z (fractional)
Ga (0.954, 0.568, 0.175)
Ga (0.722, 0.114, 0.046)
Cd (0.250, 0.625, 0.875)
Si (0.500, 0.500, 0.000)
Ga (0.432, 0.046, 0.325)
Si (0.125, 0.750, 0.375)
Ga (0.675, 0.454, 0.568)
Si (0.000, 0.000, 0.000)
Ga (0.046, 0.614, 0.722)
Ga (0.114, 0.722, 0.546)
Ga (0.278, 0.886, 0.954)
Si (0.125, 0.375, 0.250)
Ga (0.107, 0.175, 0.222)
Si (0.250, 0.875, 0.125)
Ga (0.932, 0.107, 0.886)
Ga (0.175, 0.107, 0.722)
Ga (0.454, 0.675, 0.068)
Ga (0.614, 0.046, 0.222)
Cd (0.750, 0.875, 0.625)
Cd (0.375, 0.625, 0.250)
Ga (0.607, 0.722, 0.675)
Ga (0.886, 0.607, 0.932)
Ga (0.325, 0.778, 0.393)
Cd (0.625, 0.250, 0.375)
Cd (0.125, 0.250, 0.875)
Ga (0.107, 0.932, 0.386)
Si (0.500, 0.000, 0.000)
Ga (0.886, 0.278, 0.454)
Ga (0.893, 0.068, 0.614)
Si (0.250, 0.375, 0.625)
Ga (0.454, 0.778, 0.886)
Ga (0.432, 0.386, 0.607)
Ga (0.893, 0.825, 0.778)
Si (0.875, 0.625, 0.750)
Ga (0.068, 0.893, 0.114)
Ga (0.932, 0.825, 0.546)
Ga (0.325, 0.546, 0.432)
Ga (0.175, 0.068, 0.954)
Ga (0.222, 0.546, 0.614)
Si (0.625, 0.875, 0.250)
Ga (0.393, 0.278, 0.325)
Ga (0.546, 0.222, 0.114)
Si (0.000, 0.000, 0.500)
Cd (0.375, 0.750, 0.625)
Ga (0.607, 0.886, 0.432)
Ga (0.546, 0.325, 0.932)
Si (0.375, 0.125, 0.750)
Si (0.750, 0.625, 0.375)
Ga (0.278, 0.393, 0.825)
Si (0.500, 0.000, 0.500)
Si (0.000, 0.500, 0.500)
Si (0.625, 0.750, 0.875)
Ga (0.614, 0.568, 0.893)
Si (0.500, 0.500, 0.500)
Si (0.750, 0.125, 0.875)
Ga (0.386, 0.432, 0.107)
Ga (0.068, 0.175, 0.454)
Cd (0.625, 0.375, 0.750)
Ga (0.825, 0.893, 0.278)
Ga (0.778, 0.325, 0.893)
Si (0.875, 0.250, 0.625)
Si (0.000, 0.500, 0.000)
Ga (0.825, 0.932, 0.046)
Ga (0.393, 0.114, 0.568)
Cd (0.750, 0.375, 0.125)
Ga (0.386, 0.954, 0.778)
Cd (0.875, 0.750, 0.125)
Ga (0.222, 0.675, 0.107)
Si (0.375, 0.250, 0.125)
Ga (0.675, 0.222, 0.607)
Ga (0.778, 0.454, 0.386)
Cd (0.875, 0.125, 0.250)
Cd (0.250, 0.125, 0.375)
Ga (0.568, 0.614, 0.393)
Ga (0.114, 0.393, 0.068)
Ga (0.722, 0.607, 0.175)
Ga (0.046, 0.432, 0.825)
Ga (0.954, 0.386, 0.278)
Ga (0.568, 0.954, 0.675)
Cd (0.125, 0.875, 0.750)

Output
- density of states at the Fermi level (states/eV/f.u.) = 8.47
- total energy (eV per atom) = -3.108
- uncorrected formation energy (meV per atom) = 201

---

8.
A relaxed structure of Na3In3OsO8. Source: the Alexandria database, functional GGA-PBE.

abc: 6.552 6.553 6.693
angles: 119.30 90.00 120.00
Each line ends with the local moment (μB).
Element x y z (fractional)
O (0.738, 0.476, 0.713)  0.02
O (0.218, 0.978, 0.696)  0.05
O (0.218, 0.435, 0.696)  0.05
O (0.262, 0.524, 0.287)  0.02
In (0.500, 0.000, 0.500)  0.01
Na (0.500, 0.500, 0.000)  0.00
Na (0.000, 0.500, 0.000)  0.00
In (0.500, 0.500, 0.500)  0.01
O (0.761, 0.978, 0.696)  0.05
O (0.782, 0.022, 0.304)  0.05
O (0.782, 0.565, 0.304)  0.05
Os (0.000, 0.000, 0.500)  1.50
Na (0.000, 0.000, 0.000)  0.00
O (0.239, 0.022, 0.304)  0.05
In (0.000, 0.500, 0.500)  0.01

Output
- density of states at the Fermi level (states/eV/f.u.) = 4.23
- total energy (eV per atom) = -5.659
- uncorrected formation energy (meV per atom) = -1455